(1)
First-principles (PBEsol) data for a relaxed structure of BiPICl2, as listed in Alexandria.

As for the total energy: -3.062 eV per atom. The crystal system is tetragonal. The density comes out at 4.72 g cm⁻³. As for the uncorrected formation energy: 2.5 kcal/mol of atoms. The value obtained for the density of states at the Fermi level is 0.6073 states/eV/atom.

It has space group P4/mmm (No. 123), with a = 5.136 Å, b = 5.136 Å, c = 5.833 Å, α = 90.00°, β = 90.00° and γ = 90.00°. The inequivalent atoms are Bi at (0.000, 0.000, 0.000), P at (0.000, 0.000, 0.500), I at (0.500, 0.500, 0.500) and Cl at (0.000, 0.500, 0.000).

(2)
First-principles (PBEsol) data for a relaxed structure of BiP2ICl, as listed in Alexandria.

As for the total energy: -2.986 eV per atom. The crystal system is tetragonal. The density comes out at 5.42 g cm⁻³. As for the uncorrected formation energy: 21.7 kcal/mol of atoms. The value obtained for the density of states at the Fermi level is 0.4809 states/eV/atom.

It has space group P4/mmm (No. 123), with a = 5.158 Å, b = 5.158 Å, c = 4.992 Å, α = 90.00°, β = 90.00° and γ = 90.00°. The inequivalent atoms are Bi at (0.000, 0.000, 0.000), P at (0.000, 0.500, 0.500), I at (0.500, 0.500, 0.500) and Cl at (0.500, 0.500, 0.000).